DFT (PBE) results for a relaxed structure of CsK2GaAg.

E above lowest polymorph = 0.000 eV per atom
Calculated formation energy = 0.415 eV/f.u.
Volume = 46.12 A^3/atom

abc: 6.722 6.722 5.104
angles: 90.00 90.00 90.00
Fractional positions:
Ag1 0.000 0.000 0.000
K1 0.500 0.000 0.000
Ga1 0.000 0.000 0.500
Cs1 0.500 0.500 0.500
K2 0.000 0.500 0.000